Record 1
Below is a geometry-optimized KBa2Pt structure, with properties calculated at the PBE-GGA level.

The calculation puts the energy relative to the lowest polymorph listed for this composition at 0.0026 eV per atom.

The structure belongs to space group R3m (No. 160, hexagonal axes); the cell edges are 4.6428, 4.6428 and 33.9678 Å and the angles 90.00°, 90.00° and 120.00°. Symmetry generates all atoms from K at (0.0000, 0.0000, 0.0000), Ba at (0.0000, 0.0000, 0.5484), Ba at (0.0000, 0.0000, 0.7833) and Pt at (0.0000, 0.0000, 0.1657).

---

Record 2
Below is a geometry-optimized KBa2Pt structure, with properties calculated at the PBE-GGA level.

The calculation puts the energy relative to the lowest polymorph listed for this composition at 0.5839 eV per atom.

The structure belongs to space group F-43m (No. 216); the cell edges are 8.216, 8.216 and 8.216 Å and the angles 90.00°, 90.00° and 90.00°. Symmetry generates all atoms from K at (0.000, 0.000, 0.000), Ba at (0.000, 0.000, 0.500), Ba at (0.250, 0.250, 0.750) and Pt at (0.250, 0.250, 0.250).